Below is crystalline Ba2In at its relaxed geometry, with properties calculated at the PBE-GGA level.

abc: 6.092 6.092 4.065
angles: 90.00 90.00 90.00
Space group P4/mmm (No. 123)
Unique sites:
Ba 0.000 0.500 0.000 [2 per cell]
In 0.000 0.000 0.500 [1 per cell]

=====

Below is crystalline BaIn3 at its relaxed geometry, with properties calculated at the PBE-GGA level.

abc: 7.858 5.192 12.418
angles: 90.00 90.00 90.00
Space group Pnma (No. 62)
Unique sites:
Ba 0.247 0.250 0.159 [4 per cell]
In 0.050 0.750 0.371 [4 per cell]
In 0.054 0.250 0.872 [4 per cell]
In 0.248 0.250 0.450 [4 per cell]

=====

| no. | M_tot (μB per atom) | total DFT energy (no corrections) (eV/atom) |
| --- | --- | --- |
| 1 | 0.00 | -2.43 |
| 2 | 0.00 | -2.89 |